Record 1
Density functional theory data (PBE) for a geometry-optimized PmGePt structure.

Unit cell a=4.4669 b=4.4669 c=3.6792 alpha=90.00 beta=90.00 gamma=120.00
Atoms (fractional coordinates):
Pm 0.0000 0.0000 0.0000
Ge 0.3333 0.6667 0.5000
Pt 0.6667 0.3333 0.5000

Summary:
Relative energy among the computed polymorphs, eV per atom: 0.0388
ΔH_f (0 K), eV/atom: -1.070
DOS at the Fermi energy, states/eV/atom: 0.2378


Record 2
Density functional theory data (PBE) for a geometry-optimized AcAl2Ga4Au structure.

Unit cell a=9.3388 b=9.3388 c=9.3388 alpha=28.99 beta=28.99 gamma=28.99
Atoms (fractional coordinates):
Ac 0.0000 0.0000 0.0000
Al 0.2436 0.2436 0.2436
Al 0.7564 0.7564 0.7564
Ga 0.1333 0.1333 0.1333
Ga 0.4017 0.4017 0.4017
Ga 0.5983 0.5983 0.5983
Ga 0.8667 0.8667 0.8667
Au 0.5000 0.5000 0.5000

Summary:
ΔH_f (0 K), eV/atom: -0.217
DOS at the Fermi energy, states/eV/atom: 0.4104